18
Lattice="-2.8126 1.0526 -1.4520 -1.2233 -6.8244 1.2540 -4.1478 2.5609 9.8907" Properties=species:S:1:pos:R:3 comment="GGA-PBE Ca2ZnPbO5, optimized geometry" sg="Cmc2_1 (36)" magmom_total_mub_per_cell=0.000 volume_a3_per_fu=126 formation_energy_uncorrected_ev_per_atom=-1.9225 energy_ev_per_atom=-5.68 pbc="T T T"
Ca -6.4927 -2.3657 7.0300
Ca -3.5933 0.3864 7.2403
Ca -1.6372 -0.8784 2.5345
Ca -4.3389 -3.7526 1.8527
Zn -5.4612 2.9056 8.8530
Zn -4.5281 -5.0018 5.1451
Pb -4.8817 -1.5041 4.5340
Pb -1.2585 -2.9685 0.2859
O -2.2938 -4.6867 1.0457
O -6.2497 -0.2362 8.1029
O -5.8735 -4.2133 8.3226
O -4.1465 -1.8622 6.6818
O -5.8040 -3.4705 4.8951
O -4.3519 0.5262 4.9795
O -2.9076 -2.3736 3.9113
O -2.6307 1.2002 2.1342
O -3.1725 -1.8826 0.9489
O -0.4973 -0.9026 0.3090